# Tb2Ho6Er3

An optimized crystal structure of Tb2Ho6Er3 (PBE, Alexandria).

Cell: 31.5769 31.5769 31.5769 Å, 6.39 6.39 6.39°
Fractional positions:
Tb 0.0456 0.0456 0.0456
Tb 0.9544 0.9544 0.9544
Ho 0.1365 0.1365 0.1365
Ho 0.3182 0.3182 0.3182
Ho 0.4094 0.4094 0.4094
Ho 0.5906 0.5906 0.5906
Ho 0.6818 0.6818 0.6818
Ho 0.8635 0.8635 0.8635
Er 0.2271 0.2271 0.2271
Er 0.5000 0.5000 0.5000
Er 0.7729 0.7729 0.7729

magnetization = 0.000 Bohr magnetons per cell
density = 8887 kg/m³
V = 338 Å³/f.u.
offset from the most stable computed form = 0 meV/atom